A.
TlCr2Br | PBE | relaxed

Lattice parameters (Å, degrees): 6.4490 6.4490 6.4490 143.90 143.90 51.98
Last column: magnetic moment on the atom in μB.
Positions (direct):
Cr  0.2500  0.7500  0.5000  4.04
Cr  0.0000  0.0000  0.0000  3.84
Br  0.7500  0.2500  0.5000  0.05
Tl  0.5000  0.5000  0.0000  -0.02

B.
TlCr2Br | PBE | relaxed

Lattice parameters (Å, degrees): 3.4822 3.4822 8.6281 90.00 90.00 118.75
Last column: magnetic moment on the atom in μB.
Positions (direct):
Cr  0.0000  0.0000  0.9922  3.90
Cr  0.0000  0.0000  0.5078  3.90
Br  0.5000  0.5000  0.7500  0.04
Tl  0.5000  0.5000  0.2500  -0.06

What should be chosen as the most stable of them? Choose B.

A.
Tl3CrBr6 | PBE | relaxed

Lattice parameters (Å, degrees): 7.4022 7.4022 8.2729 111.02 111.02 101.44
Last column: magnetic moment on the atom in μB.
Positions (direct):
Br  0.7782  0.2218  0.0000  -0.02
Br  0.6790  0.6790  0.7395  -0.03
Br  0.2218  0.7782  0.0000  -0.02
Br  0.9395  0.9395  0.2605  -0.03
Br  0.3210  0.3210  0.2605  -0.03
Br  0.0605  0.0605  0.7395  -0.03
Cr  0.0000  0.0000  0.0000  2.92
Tl  0.2500  0.7500  0.5000  0.01
Tl  0.5000  0.5000  0.0000  0.00
Tl  0.7500  0.2500  0.5000  0.01

B.
Tl3CrBr6 | PBE | relaxed

Lattice parameters (Å, degrees): 7.4771 8.2833 10.9935 90.00 87.83 90.00
Last column: magnetic moment on the atom in μB.
Positions (direct):
Br  0.6122  0.4530  0.2826  -0.03
Br  0.7189  0.1603  0.9609  -0.03
Br  0.8458  0.7408  0.9354  -0.03
Br  0.3458  0.7592  0.4354  -0.03
Br  0.2811  0.8397  0.0391  -0.03
Br  0.1542  0.2592  0.0646  -0.03
Br  0.8878  0.9530  0.2174  -0.03
Br  0.1122  0.0470  0.7826  -0.03
Br  0.3878  0.5470  0.7174  -0.03
Br  0.7811  0.6603  0.5391  -0.03
Br  0.6542  0.2408  0.5646  -0.03
Br  0.2189  0.3397  0.4609  -0.03
Tl  0.5324  0.9229  0.7566  0.00
Tl  0.0324  0.5771  0.2566  0.00
Tl  0.4676  0.0771  0.2434  0.00
Tl  0.0000  0.0000  0.5000  -0.01
Tl  0.5000  0.5000  0.0000  -0.01
Tl  0.9676  0.4229  0.7434  0.00
Cr  0.0000  0.0000  0.0000  2.93
Cr  0.5000  0.5000  0.5000  2.93

What should be chosen as the most stable of them? Choose B.

A.
Tl2CrBr | PBE | relaxed

Lattice parameters (Å, degrees): 8.8386 8.8386 8.8386 25.26 25.26 25.26
Last column: magnetic moment on the atom in μB.
Positions (direct):
Tl  0.4930  0.4930  0.4930  0.04
Tl  0.0070  0.0070  0.0070  0.04
Br  0.2500  0.2500  0.2500  0.03
Cr  0.7500  0.7500  0.7500  3.98

B.
Tl2CrBr | PBE | relaxed

Lattice parameters (Å, degrees): 6.4020 6.4020 6.4020 148.67 126.39 63.42
Last column: magnetic moment on the atom in μB.
Positions (direct):
Tl  0.9652  0.9652  0.0000  0.02
Tl  0.2528  0.7528  0.5000  0.00
Br  0.5495  0.5495  0.0000  0.02
Cr  0.7324  0.2324  0.5000  3.89

What should be chosen as the most stable of them? Choose B.